[1]
Below is an optimized crystal structure of HgBi2Pd2, with properties calculated at the GGA-PBE level.

Cell: 7.4124 7.4124 9.8089 Å, 90.00 90.00 153.78°
Closest atoms and distances in Å follow each position.
Atoms (fractional coordinates):
1 Hg 0.1180 0.8820 0.5000  4 Pd 2.79-2.82
2 Hg 0.8820 0.1180 0.0000  4 Pd 2.79-2.82
3 Bi 0.1743 0.8257 0.8473  5 Pd 2.85-2.96
4 Bi 0.4056 0.5944 0.6589  4 Pd 2.80-2.84
5 Bi 0.5944 0.4056 0.1589  4 Pd 2.80-2.84
6 Bi 0.8257 0.1743 0.3473  5 Pd 2.85-2.96
7 Pd 0.2503 0.7497 0.1247  2 Hg 2.82, 5 Bi 2.83-2.96
8 Pd 0.4826 0.5174 0.3926  2 Hg 2.79, 4 Bi 2.80-2.85
9 Pd 0.5174 0.4826 0.8926  2 Hg 2.79, 4 Bi 2.80-2.85
10 Pd 0.7497 0.2503 0.6247  2 Hg 2.82, 5 Bi 2.83-2.96

Size of the total moment: 0.00 Bohr magnetons per cell
V: 23.81 Å³ per atom
Formation energy: -0.1793 eV/atom


[2]
Below is an optimized crystal structure of Hg4BiPd15, with properties calculated at the GGA-PBE level.

Cell: 4.0737 4.0737 20.3060 Å, 90.00 90.00 90.00°
Closest atoms and distances in Å follow each position.
Atoms (fractional coordinates):
1 Hg 0.0000 0.0000 0.0991  12 Pd 2.86-2.88
2 Hg 0.0000 0.0000 0.2966  12 Pd 2.86-2.89
3 Hg 0.0000 0.0000 0.7034  12 Pd 2.86-2.89
4 Hg 0.0000 0.0000 0.9009  12 Pd 2.86-2.88
5 Bi 0.0000 0.0000 0.5000  12 Pd 2.88-2.91
6 Pd 0.0000 0.5000 0.0000  8 Pd 2.85-2.88, 4 Hg 2.86
7 Pd 0.0000 0.5000 0.1976  4 Hg 2.86, 8 Pd 2.86-2.88
8 Pd 0.0000 0.5000 0.3977  8 Pd 2.87-2.91, 2 Hg 2.89, 2 Bi 2.91
9 Pd 0.0000 0.5000 0.6023  8 Pd 2.87-2.91, 2 Hg 2.89, 2 Bi 2.91
10 Pd 0.0000 0.5000 0.8024  4 Hg 2.86, 8 Pd 2.86-2.88
11 Pd 0.5000 0.0000 0.0000  8 Pd 2.85-2.88, 4 Hg 2.86
12 Pd 0.5000 0.0000 0.1976  4 Hg 2.86, 8 Pd 2.86-2.88
13 Pd 0.5000 0.0000 0.3977  8 Pd 2.87-2.91, 2 Hg 2.89, 2 Bi 2.91
14 Pd 0.5000 0.0000 0.6023  8 Pd 2.87-2.91, 2 Hg 2.89, 2 Bi 2.91
15 Pd 0.5000 0.0000 0.8024  4 Hg 2.86, 8 Pd 2.86-2.88
16 Pd 0.5000 0.5000 0.0985  8 Pd 2.85-2.86, 4 Hg 2.88
17 Pd 0.5000 0.5000 0.2981  8 Pd 2.87-2.88, 4 Hg 2.88
18 Pd 0.5000 0.5000 0.5000  4 Bi 2.88, 8 Pd 2.91
19 Pd 0.5000 0.5000 0.7019  8 Pd 2.87-2.88, 4 Hg 2.88
20 Pd 0.5000 0.5000 0.9015  8 Pd 2.85-2.86, 4 Hg 2.88

Size of the total moment: 0.00 Bohr magnetons per cell
V: 16.85 Å³ per atom
Formation energy: -0.1391 eV/atom


[3]
Below is an optimized crystal structure of HgBi2Pd2, with properties calculated at the GGA-PBE level.

Cell: 8.2327 8.2327 8.2327 Å, 151.68 151.68 40.48°
Closest atoms and distances in Å follow each position.
Atoms (fractional coordinates):
1 Hg 0.0000 0.0000 0.0000  8 Bi 3.43
2 Bi 0.3759 0.3759 0.0000  4 Pd 2.80
3 Bi 0.6241 0.6241 0.0000  4 Pd 2.80
4 Pd 0.2500 0.7500 0.5000  4 Bi 2.80, 4 Pd 2.85
5 Pd 0.7500 0.2500 0.5000  4 Bi 2.80, 4 Pd 2.85

Size of the total moment: 0.00 Bohr magnetons per cell
V: 25.06 Å³ per atom
Formation energy: -0.0880 eV/atom


[4]
Below is an optimized crystal structure of HgBi3Pd12, with properties calculated at the GGA-PBE level.

Cell: 4.1160 4.1160 16.4591 Å, 90.00 90.00 90.00°
Closest atoms and distances in Å follow each position.
Atoms (fractional coordinates):
1 Hg 0.0000 0.0000 0.0000  12 Pd 2.89-2.91
2 Bi 0.0000 0.0000 0.2412  12 Pd 2.83-3.01
3 Bi 0.0000 0.0000 0.5000  12 Pd 2.91-2.92
4 Bi 0.0000 0.0000 0.7588  12 Pd 2.83-3.01
5 Pd 0.0000 0.5000 0.1231  2 Bi 2.83, 2 Hg 2.89, 8 Pd 2.89-2.96
6 Pd 0.0000 0.5000 0.3743  8 Pd 2.87-2.92, 4 Bi 2.92-3.01
7 Pd 0.0000 0.5000 0.6257  8 Pd 2.87-2.92, 4 Bi 2.92-3.01
8 Pd 0.0000 0.5000 0.8769  2 Bi 2.83, 2 Hg 2.89, 8 Pd 2.89-2.96
9 Pd 0.5000 0.0000 0.1231  2 Bi 2.83, 2 Hg 2.89, 8 Pd 2.89-2.96
10 Pd 0.5000 0.0000 0.3743  8 Pd 2.87-2.92, 4 Bi 2.92-3.01
11 Pd 0.5000 0.0000 0.6257  8 Pd 2.87-2.92, 4 Bi 2.92-3.01
12 Pd 0.5000 0.0000 0.8769  2 Bi 2.83, 2 Hg 2.89, 8 Pd 2.89-2.96
13 Pd 0.5000 0.5000 0.0000  8 Pd 2.89, 4 Hg 2.91
14 Pd 0.5000 0.5000 0.2527  8 Pd 2.87-2.96, 4 Bi 2.92
15 Pd 0.5000 0.5000 0.5000  4 Bi 2.91, 8 Pd 2.92
16 Pd 0.5000 0.5000 0.7473  8 Pd 2.87-2.96, 4 Bi 2.92

Size of the total moment: 0.00 Bohr magnetons per cell
V: 17.43 Å³ per atom
Formation energy: -0.2380 eV/atom


[5]
Below is an optimized crystal structure of HgBiPd2, with properties calculated at the GGA-PBE level.

Cell: 4.8124 4.8124 3.4272 Å, 90.00 90.00 90.00°
Closest atoms and distances in Å follow each position.
Atoms (fractional coordinates):
1 Hg 0.0000 0.0000 0.0000  8 Pd 2.95
2 Bi 0.5000 0.5000 0.0000  8 Pd 2.95
3 Pd 0.0000 0.5000 0.5000  4 Hg 2.95, 4 Bi 2.95
4 Pd 0.5000 0.0000 0.5000  4 Hg 2.95, 4 Bi 2.95

Size of the total moment: 0.00 Bohr magnetons per cell
V: 19.84 Å³ per atom
Formation energy: -0.1625 eV/atom


[6]
Below is an optimized crystal structure of HgBi12Pd7, with properties calculated at the GGA-PBE level.

Cell: 9.2267 9.2267 9.2267 Å, 112.84 112.84 112.84°
Closest atoms and distances in Å follow each position.
Atoms (fractional coordinates):
1 Hg 0.0000 0.0000 0.0000  6 Pd 2.99
2 Bi 0.0471 0.2012 0.7106  3 Pd 2.84-3.05
3 Bi 0.1565 0.5159 0.4310  4 Pd 2.79-3.06
4 Bi 0.2012 0.7106 0.0471  3 Pd 2.84-3.05
5 Bi 0.2894 0.9529 0.7988  3 Pd 2.84-3.05
6 Bi 0.4310 0.1565 0.5159  4 Pd 2.79-3.06
7 Bi 0.4841 0.5690 0.8435  4 Pd 2.79-3.06
8 Bi 0.5159 0.4310 0.1565  4 Pd 2.79-3.06
9 Bi 0.5690 0.8435 0.4841  4 Pd 2.79-3.06
10 Bi 0.7106 0.0471 0.2012  3 Pd 2.84-3.05
11 Bi 0.7988 0.2894 0.9529  3 Pd 2.84-3.05
12 Bi 0.8435 0.4841 0.5690  4 Pd 2.79-3.06
13 Bi 0.9529 0.7988 0.2894  3 Pd 2.84-3.05
14 Pd 0.1252 0.1970 0.4168  6 Bi 2.79-3.05, 1 Hg 2.99, 1 Pd 3.02
15 Pd 0.1970 0.4168 0.1252  6 Bi 2.79-3.05, 1 Hg 2.99, 1 Pd 3.02
16 Pd 0.4168 0.1252 0.1970  6 Bi 2.79-3.05, 1 Hg 2.99, 1 Pd 3.02
17 Pd 0.5000 0.5000 0.5000  6 Pd 3.02, 6 Bi 3.06
18 Pd 0.5832 0.8748 0.8030  6 Bi 2.79-3.05, 1 Hg 2.99, 1 Pd 3.02
19 Pd 0.8030 0.5832 0.8748  6 Bi 2.79-3.05, 1 Hg 2.99, 1 Pd 3.02
20 Pd 0.8748 0.8030 0.5832  6 Bi 2.79-3.05, 1 Hg 2.99, 1 Pd 3.02

Size of the total moment: 0.00 Bohr magnetons per cell
V: 25.78 Å³ per atom
Formation energy: -0.1625 eV/atom


[7]
Below is an optimized crystal structure of HgBi7Pd5, with properties calculated at the GGA-PBE level.

Cell: 7.8051 7.8051 7.8051 Å, 133.80 100.56 97.16°
Closest atoms and distances in Å follow each position.
Atoms (fractional coordinates):
1 Hg 0.0000 0.0000 0.0000  8 Bi 3.19-3.56
2 Bi 0.1200 0.4462 0.6738  3 Pd 2.86-2.90
3 Bi 0.2179 0.7179 0.5000  4 Pd 2.89
4 Bi 0.3206 0.0009 0.3197  3 Pd 2.90, 1 Hg 3.19
5 Bi 0.3338 0.3338 0.0000  4 Pd 3.12, 5 Bi 3.29-3.46, 1 Hg 3.45
6 Bi 0.6658 0.6658 0.0000  6 Pd 3.01-3.11
7 Bi 0.6812 0.0009 0.6803  3 Pd 2.90, 1 Hg 3.19
8 Bi 0.7725 0.4462 0.3262  3 Pd 2.86-2.90
9 Pd 0.4740 0.4808 0.5009  5 Bi 2.86-3.12, 3 Pd 2.96-3.11
10 Pd 0.4740 0.9731 0.9932  5 Bi 2.86-3.12, 3 Pd 2.96-3.11
11 Pd 0.7208 0.2208 0.5000  6 Bi 2.90-3.11, 4 Pd 2.96
12 Pd 0.9798 0.4808 0.0068  5 Bi 2.86-3.12, 3 Pd 2.96-3.11
13 Pd 0.9798 0.9731 0.4991  5 Bi 2.86-3.12, 3 Pd 2.96-3.11

Size of the total moment: 0.00 Bohr magnetons per cell
V: 24.27 Å³ per atom
Formation energy: -0.1294 eV/atom


[8]
Below is an optimized crystal structure of Hg2BiPd2, with properties calculated at the GGA-PBE level.

Cell: 7.4706 7.4706 7.4706 Å, 149.12 149.12 44.23°
Closest atoms and distances in Å follow each position.
Atoms (fractional coordinates):
1 Hg 0.2500 0.7500 0.5000  4 Hg 2.81, 4 Pd 2.90
2 Hg 0.7500 0.2500 0.5000  4 Hg 2.81, 4 Pd 2.90
3 Bi 0.0000 0.0000 0.0000  8 Pd 3.12
4 Pd 0.4027 0.4027 0.0000  1 Pd 2.69, 4 Hg 2.90
5 Pd 0.5973 0.5973 0.0000  1 Pd 2.69, 4 Hg 2.90

Size of the total moment: 0.00 Bohr magnetons per cell
V: 21.90 Å³ per atom
Formation energy: -0.0210 eV/atom